No. 1
First-principles (PBE-GGA) data for BiSO2 after structural relaxation, as listed in Alexandria via LeMat-Bulk.

Cell lengths 6.826, 6.826, 6.826 Å; angles 28.35, 28.35, 28.35 degrees
Fractional coordinates of all 4 atoms:
Bi (0.000, 0.000, 0.000)
S (0.500, 0.500, 0.500)
O (0.121, 0.121, 0.121)
O (0.879, 0.879, 0.879)

Results
uncorrected formation energy = 0.112 eV per atom
VASP energy = -4.37 eV/atom
E above lowest polymorph = 1128 meV per atom
Fermi-level density of states = 1.8 states/eV/f.u.

No. 2
First-principles (PBE-GGA) data for Tl2CdTc after structural relaxation, as listed in Alexandria via LeMat-Bulk.

Cell lengths 7.390, 7.390, 7.390 Å; angles 156.68, 142.50, 44.63 degrees
Fractional coordinates of all 4 atoms:
Tl (0.000, 0.000, 0.000)
Tl (0.692, 0.192, 0.500)
Cd (0.327, 0.827, 0.500)
Tc (0.507, 0.507, 0.000)

Results
VASP energy = -3.55 eV/atom
E above lowest polymorph = 0 meV per atom
Fermi-level density of states = 3.0 states/eV/f.u.

No. 3
First-principles (PBE-GGA) data for CrCuRu2 after structural relaxation, as listed in Alexandria via LeMat-Bulk.

Cell lengths 8.731, 8.731, 8.731 Å; angles 17.51, 17.51, 17.51 degrees
Fractional coordinates of all 4 atoms:
Cr (0.000, 0.000, 0.000)
Cu (0.500, 0.500, 0.500)
Ru (0.253, 0.253, 0.253)
Ru (0.747, 0.747, 0.747)

Results
VASP energy = -7.94 eV/atom
Fermi-level density of states = 3.7 states/eV/f.u.

No. 4
First-principles (PBE-GGA) data for MoIr2 after structural relaxation, as listed in Alexandria via LeMat-Bulk.

Cell lengths 6.046, 6.046, 6.046 Å; angles 90.00, 90.00, 90.00 degrees
Fractional coordinates of all 12 atoms:
Mo (0.000, 0.000, 0.000)
Mo (0.000, 0.500, 0.500)
Mo (0.500, 0.000, 0.500)
Mo (0.500, 0.500, 0.000)
Ir (0.118, 0.618, 0.882)
Ir (0.118, 0.882, 0.382)
Ir (0.382, 0.118, 0.882)
Ir (0.382, 0.382, 0.382)
Ir (0.618, 0.618, 0.618)
Ir (0.618, 0.882, 0.118)
Ir (0.882, 0.118, 0.618)
Ir (0.882, 0.382, 0.118)

Results
VASP energy = -8.74 eV/atom
Fermi-level density of states = 2.5 states/eV/f.u.

No. 5
First-principles (PBE-GGA) data for Pm5Tl2Pb after structural relaxation, as listed in Alexandria via LeMat-Bulk.

Cell lengths 9.049, 9.049, 9.049 Å; angles 122.54, 122.54, 85.66 degrees
Fractional coordinates of all 16 atoms:
Pm (0.000, 0.000, 0.000)
Pm (0.006, 0.506, 0.813)
Pm (0.193, 0.006, 0.500)
Pm (0.307, 0.807, 0.813)
Pm (0.494, 0.307, 0.500)
Pm (0.500, 0.500, 0.000)
Pm (0.506, 0.693, 0.500)
Pm (0.693, 0.193, 0.187)
Pm (0.807, 0.994, 0.500)
Pm (0.994, 0.494, 0.187)
Tl (0.143, 0.357, 0.500)
Tl (0.357, 0.857, 0.215)
Tl (0.643, 0.143, 0.785)
Tl (0.857, 0.643, 0.500)
Pb (0.250, 0.250, 0.000)
Pb (0.750, 0.750, 0.000)

Results
VASP energy = -4.39 eV/atom
Fermi-level density of states = 7.1 states/eV/f.u.

No. 6
First-principles (PBE-GGA) data for GaNi after structural relaxation, as listed in Alexandria via LeMat-Bulk.

Cell lengths 3.442, 3.442, 3.442 Å; angles 60.00, 60.00, 60.00 degrees
Fractional coordinates of all 2 atoms:
Ga (0.000, 0.000, 0.000)
Ni (0.500, 0.500, 0.500)

Results
VASP energy = -4.40 eV/atom
Fermi-level density of states = 1.0 states/eV/f.u.

No. 7
First-principles (PBE-GGA) data for Dy3AlSi2 after structural relaxation, as listed in Alexandria via LeMat-Bulk.

Cell lengths 11.490, 4.151, 11.512 Å; angles 90.00, 90.00, 90.00 degrees
Fractional coordinates of all 24 atoms:
Dy (0.056, 0.250, 0.119)
Dy (0.127, 0.750, 0.564)
Dy (0.199, 0.250, 0.801)
Dy (0.301, 0.750, 0.301)
Dy (0.373, 0.250, 0.064)
Dy (0.444, 0.750, 0.619)
Dy (0.556, 0.250, 0.381)
Dy (0.627, 0.750, 0.936)
Dy (0.699, 0.250, 0.699)
Dy (0.801, 0.750, 0.199)
Dy (0.873, 0.250, 0.436)
Dy (0.944, 0.750, 0.881)
Al (0.134, 0.250, 0.369)
Al (0.366, 0.750, 0.869)
Al (0.634, 0.250, 0.131)
Al (0.866, 0.750, 0.631)
Si (0.023, 0.750, 0.317)
Si (0.188, 0.750, 0.996)
Si (0.312, 0.250, 0.496)
Si (0.477, 0.250, 0.817)
Si (0.523, 0.750, 0.183)
Si (0.688, 0.750, 0.504)
Si (0.812, 0.250, 0.004)
Si (0.977, 0.250, 0.683)

Results
uncorrected formation energy = -0.646 eV per atom
VASP energy = -5.38 eV/atom
Fermi-level density of states = 3.6 states/eV/f.u.

No. 8
First-principles (PBE-GGA) data for CaMg2Au after structural relaxation, as listed in Alexandria via LeMat-Bulk.

Cell lengths 4.951, 4.951, 4.951 Å; angles 60.00, 60.00, 60.00 degrees
Fractional coordinates of all 4 atoms:
Ca (0.000, 0.000, 0.000)
Mg (0.250, 0.250, 0.250)
Mg (0.750, 0.750, 0.750)
Au (0.500, 0.500, 0.500)

Results
VASP energy = -2.43 eV/atom
Fermi-level density of states = 2.5 states/eV/f.u.

No. 9
First-principles (PBE-GGA) data for KRb2Na after structural relaxation, as listed in Alexandria via LeMat-Bulk.

Cell lengths 9.322, 9.322, 9.322 Å; angles 102.75, 102.75, 123.96 degrees
Fractional coordinates of all 8 atoms:
K (0.000, 0.000, 0.000)
K (0.750, 0.250, 0.500)
Rb (0.156, 0.125, 0.531)
Rb (0.375, 0.844, 0.969)
Rb (0.594, 0.625, 0.469)
Rb (0.875, 0.406, 0.031)
Na (0.250, 0.750, 0.500)
Na (0.500, 0.500, 0.000)

Results
VASP energy = -1.01 eV/atom
E above lowest polymorph = 58 meV per atom
Fermi-level density of states = 2.4 states/eV/f.u.

No. 10
First-principles (PBE-GGA) data for Sm6Er8Sc after structural relaxation, as listed in Alexandria via LeMat-Bulk.

Cell lengths 8.596, 8.596, 8.596 Å; angles 63.16, 63.16, 63.16 degrees
Fractional coordinates of all 15 atoms:
Sm (0.042, 0.606, 0.723)
Sm (0.277, 0.958, 0.394)
Sm (0.394, 0.277, 0.958)
Sm (0.606, 0.723, 0.042)
Sm (0.723, 0.042, 0.606)
Sm (0.958, 0.394, 0.277)
Er (0.077, 0.077, 0.077)
Er (0.220, 0.610, 0.248)
Er (0.248, 0.220, 0.610)
Er (0.390, 0.752, 0.780)
Er (0.610, 0.248, 0.220)
Er (0.752, 0.780, 0.390)
Er (0.780, 0.390, 0.752)
Er (0.923, 0.923, 0.923)
Sc (0.500, 0.500, 0.500)

Results
VASP energy = -4.63 eV/atom
Fermi-level density of states = 22.2 states/eV/f.u.

No. 11
First-principles (PBE-GGA) data for PmZnInPt after structural relaxation, as listed in Alexandria via LeMat-Bulk.

Cell lengths 4.891, 4.891, 4.891 Å; angles 60.00, 60.00, 60.00 degrees
Fractional coordinates of all 4 atoms:
Pm (0.000, 0.000, 0.000)
Zn (0.250, 0.250, 0.250)
In (0.500, 0.500, 0.500)
Pt (0.750, 0.750, 0.750)

Results
VASP energy = -4.34 eV/atom
Fermi-level density of states = 2.0 states/eV/f.u.

No. 12
First-principles (PBE-GGA) data for ZrNi2P2 after structural relaxation, as listed in Alexandria via LeMat-Bulk.

Cell lengths 5.086, 5.086, 5.086 Å; angles 132.57, 132.57, 69.34 degrees
Fractional coordinates of all 5 atoms:
Zr (0.000, 0.000, 0.000)
Ni (0.358, 0.358, 0.000)
Ni (0.642, 0.642, 0.000)
P (0.250, 0.750, 0.500)
P (0.750, 0.250, 0.500)

Results
VASP energy = -6.79 eV/atom
Fermi-level density of states = 2.2 states/eV/f.u.

- Look up the VASP energy of the tenth one.
  -4.63 eV/atom

- What is the formula in the fourth record?
  MoIr2

- What is the formula in the first record?
  BiSO2